Compound: CoPH6NO5
Source: OQMD via LeMat-Bulk
Functional: GGA+U
Structure: relaxed

a b c (Å): 17.283 5.557 4.724
angles (deg): 90.00 90.00 90.00
Site moments in Bohr magnetons follow the coordinates.
Fractional positions:
Co1 0.737 0.250 0.111  2.74
Co2 0.237 0.250 0.389  2.74
Co3 0.763 0.750 0.611  2.74
Co4 0.263 0.750 0.889  2.74
H1 0.978 0.250 0.062  0.00
H2 0.481 0.250 0.071  0.00
H3 0.848 0.608 0.188  0.00
H4 0.848 0.892 0.188  0.00
H5 0.048 0.096 0.241  0.00
H6 0.048 0.404 0.241  0.00
H7 0.548 0.096 0.259  0.00
H8 0.548 0.404 0.259  0.00
H9 0.348 0.608 0.312  0.00
H10 0.348 0.892 0.312  0.00
H11 0.981 0.250 0.429  0.00
H12 0.478 0.250 0.438  0.00
H13 0.522 0.750 0.562  0.00
H14 0.019 0.750 0.571  0.00
H15 0.652 0.108 0.688  0.00
H16 0.652 0.392 0.688  0.00
H17 0.452 0.596 0.741  0.00
H18 0.452 0.904 0.741  0.00
H19 0.952 0.596 0.759  0.00
H20 0.952 0.904 0.759  0.00
H21 0.152 0.108 0.812  0.00
H22 0.152 0.392 0.812  0.00
H23 0.519 0.750 0.929  0.00
H24 0.022 0.750 0.938  0.00
N1 0.014 0.250 0.242  0.00
N2 0.514 0.250 0.258  0.00
N3 0.486 0.750 0.742  0.00
N4 0.986 0.750 0.758  0.00
O1 0.334 0.250 0.134  0.03
O2 0.190 0.528 0.164  0.06
O3 0.190 0.972 0.164  0.06
O4 0.356 0.750 0.188  0.03
O5 0.564 0.750 0.243  0.01
O6 0.064 0.750 0.257  0.01
O7 0.856 0.750 0.312  0.03
O8 0.690 0.528 0.336  0.06
O9 0.690 0.972 0.336  0.06
O10 0.834 0.250 0.366  0.03
O11 0.166 0.750 0.634  0.03
O12 0.310 0.028 0.664  0.06
O13 0.310 0.472 0.664  0.06
O14 0.144 0.250 0.688  0.03
O15 0.936 0.250 0.743  0.01
O16 0.436 0.250 0.757  0.01
O17 0.644 0.250 0.812  0.03
O18 0.810 0.028 0.836  0.06
O19 0.810 0.472 0.836  0.06
O20 0.666 0.750 0.866  0.03
P1 0.652 0.750 0.185  0.01
P2 0.152 0.750 0.315  0.01
P3 0.848 0.250 0.685  0.01
P4 0.348 0.250 0.815  0.01

## Properties
Total energy in eV per cell: -322.92